Density functional theory data (PBE+U) for a geometry-optimized AlNi2PO6 structure.

Properties
E in eV/atom: -5.889
V in Å³ per cell: 102.9
SG: P4mm, No. 99
M_tot in μB/f.u.: 4.000

a b c (Å): 4.5679 4.7458 4.7458
angles (deg): 90.00 90.00 90.00
Atoms (fractional coordinates):
Ni 0.0008 0.5000 0.0000
O 0.1892 0.5000 0.5000
O 0.7076 0.7627 0.7627
O 0.2551 0.0000 0.0000
O 0.7076 0.2373 0.7627
O 0.7076 0.2373 0.2373
Al 0.5731 0.5000 0.5000
P 0.5973 0.0000 0.0000
Ni 0.0008 0.0000 0.5000
O 0.7076 0.7627 0.2373